# TlWBr, optimized geometry, DFT PBE-GGA
data_TlWBr
_space_group_name_H-M_alt 'P -6 m 2'
_space_group_IT_number 187
_space_group_name_Hall 'P -6 2'
_cell_length_a 4.8061
_cell_length_b 4.8061
_cell_length_c 3.0928
_cell_angle_alpha 90.00
_cell_angle_beta 90.00
_cell_angle_gamma 120.00
loop_
_atom_site_label
_atom_site_fract_x
_atom_site_fract_y
_atom_site_fract_z
Tl1 0.0000 0.0000 0.0000
W1 0.6667 0.3333 0.5000
Br1 0.3333 0.6667 0.5000
# E_form (uncorrected), eV/atom: 1.0638
# Energy above the lowest structure with this stoichiometry, meV/atom: 434.1



# TiHg2SbOs, optimized geometry, DFT PBE-GGA
data_TiHg2SbOs
_space_group_name_H-M_alt 'P 4/m m m'
_space_group_IT_number 123
_space_group_name_Hall '-P 4 2'
_cell_length_a 5.296
_cell_length_b 5.296
_cell_length_c 4.577
_cell_angle_alpha 90.00
_cell_angle_beta 90.00
_cell_angle_gamma 90.00
loop_
_atom_site_label
_atom_site_fract_x
_atom_site_fract_y
_atom_site_fract_z
Ti1 0.000 0.000 0.000
Hg1 0.000 0.500 0.500
Sb1 0.500 0.500 0.000
Os1 0.000 0.000 0.500
# E_form (uncorrected), eV/atom: 0.7113



# ScCuHg, optimized geometry, DFT PBE-GGA
data_ScCuHg
_space_group_name_H-M_alt 'C 1 2/m 1'
_space_group_IT_number 12
_space_group_name_Hall '-C 2y'
_cell_length_a 9.696
_cell_length_b 3.531
_cell_length_c 7.041
_cell_angle_alpha 90.00
_cell_angle_beta 112.26
_cell_angle_gamma 90.00
loop_
_atom_site_label
_atom_site_fract_x
_atom_site_fract_y
_atom_site_fract_z
Sc1 0.003 0.000 0.231
Cu1 0.168 0.500 0.063
Hg1 0.173 0.500 0.610
# Energy above the lowest structure with this stoichiometry, meV/atom: 58.3
# E_form, eV/f.u.: -0.66



# ReGe3Os, optimized geometry, DFT PBE-GGA
data_ReGe3Os
_space_group_name_H-M_alt 'P m -3 m'
_space_group_IT_number 221
_space_group_name_Hall '-P 4 2 3'
_cell_length_a 4.764
_cell_length_b 4.764
_cell_length_c 4.764
_cell_angle_alpha 90.00
_cell_angle_beta 90.00
_cell_angle_gamma 90.00
loop_
_atom_site_label
_atom_site_fract_x
_atom_site_fract_y
_atom_site_fract_z
Re1 0.000 0.000 0.000
Ge1 0.000 0.500 0.500
Os1 0.500 0.500 0.500
# Energy above the lowest structure with this stoichiometry, meV/atom: 0.0
# E_form, eV/f.u.: 6.56



# BaTl12In4, optimized geometry, DFT PBE-GGA
data_BaTl12In4
_space_group_name_H-M_alt 'I m -3'
_space_group_IT_number 204
_space_group_name_Hall '-I 2 2 3'
_cell_length_a 10.519
_cell_length_b 10.519
_cell_length_c 10.519
_cell_angle_alpha 90.00
_cell_angle_beta 90.00
_cell_angle_gamma 90.00
loop_
_atom_site_label
_atom_site_fract_x
_atom_site_fract_y
_atom_site_fract_z
Ba1 0.000 0.000 0.000
Tl1 0.000 0.353 0.151
In1 0.250 0.250 0.250
# E_form, eV/f.u.: 1.64



# BaSr2F, optimized geometry, DFT PBE-GGA
data_BaSr2F
_space_group_name_H-M_alt 'F m -3 m'
_space_group_IT_number 225
_space_group_name_Hall '-F 4 2 3'
_cell_length_a 9.298
_cell_length_b 9.298
_cell_length_c 9.298
_cell_angle_alpha 90.00
_cell_angle_beta 90.00
_cell_angle_gamma 90.00
loop_
_atom_site_label
_atom_site_fract_x
_atom_site_fract_y
_atom_site_fract_z
Ba1 0.000 0.000 0.000
Sr1 0.250 0.250 0.250
F1 0.000 0.000 0.500
# E_form (uncorrected), eV/atom: -0.3328
# Energy above the lowest structure with this stoichiometry, meV/atom: 1095.3



# MnCd2Pb, optimized geometry, DFT PBE-GGA
data_MnCd2Pb
_space_group_name_H-M_alt 'P 1 m 1'
_space_group_IT_number 6
_space_group_name_Hall 'P -2y'
_cell_length_a 3.180
_cell_length_b 3.298
_cell_length_c 8.818
_cell_angle_alpha 90.00
_cell_angle_beta 100.09
_cell_angle_gamma 90.00
loop_
_atom_site_label
_atom_site_fract_x
_atom_site_fract_y
_atom_site_fract_z
Mn1 0.000 0.000 0.000
Cd1 0.218 0.000 0.446
Cd2 0.599 0.500 0.203
Pb1 0.390 0.500 0.769
# E_form, eV/f.u.: 0.92



# CePmEr3, optimized geometry, DFT PBE-GGA
data_CePmEr3
_space_group_name_H-M_alt 'C 1 2/m 1'
_space_group_IT_number 12
_space_group_name_Hall '-C 2y'
_cell_length_a 10.419
_cell_length_b 6.842
_cell_length_c 9.128
_cell_angle_alpha 90.00
_cell_angle_beta 106.97
_cell_angle_gamma 90.00
loop_
_atom_site_label
_atom_site_fract_x
_atom_site_fract_y
_atom_site_fract_z
Ce1 0.112 0.000 0.114
Pm1 0.170 0.500 0.077
Er1 0.053 0.256 0.699
Er2 0.248 0.500 0.484
# E_form, eV/f.u.: 0.37



# Mg3SiPb, optimized geometry, DFT PBE-GGA
data_Mg3SiPb
_space_group_name_H-M_alt 'P m -3 m'
_space_group_IT_number 221
_space_group_name_Hall '-P 4 2 3'
_cell_length_a 5.056
_cell_length_b 5.056
_cell_length_c 5.056
_cell_angle_alpha 90.00
_cell_angle_beta 90.00
_cell_angle_gamma 90.00
loop_
_atom_site_label
_atom_site_fract_x
_atom_site_fract_y
_atom_site_fract_z
Mg1 0.000 0.000 0.500
Si1 0.000 0.000 0.000
Pb1 0.500 0.500 0.500
# E_form (uncorrected), eV/atom: 0.1550
# Energy above the lowest structure with this stoichiometry, meV/atom: 0.0



# AcCe2NdSb4, optimized geometry, DFT PBE-GGA
data_AcCe2NdSb4
_space_group_name_H-M_alt 'P 1 2/m 1'
_space_group_IT_number 10
_space_group_name_Hall '-P 2y'
_cell_length_a 7.936
_cell_length_b 4.582
_cell_length_c 7.952
_cell_angle_alpha 90.00
_cell_angle_beta 109.39
_cell_angle_gamma 90.00
loop_
_atom_site_label
_atom_site_fract_x
_atom_site_fract_y
_atom_site_fract_z
Ac1 0.000 0.000 0.000
Ce1 0.500 0.000 0.500
Ce2 0.500 0.500 0.000
Nd1 0.000 0.500 0.500
Sb1 0.258 0.000 0.745
Sb2 0.263 0.500 0.262
# E_form (uncorrected), eV/atom: -1.1075



# Er2BeIr3, optimized geometry, DFT PBE-GGA
data_Er2BeIr3
_space_group_name_H-M_alt 'R -3 m'
_space_group_IT_number 166
_space_group_name_Hall '-R 3 2"'
_cell_length_a 5.4907
_cell_length_b 5.4907
_cell_length_c 11.5588
_cell_angle_alpha 90.00
_cell_angle_beta 90.00
_cell_angle_gamma 120.00
loop_
_atom_site_label
_atom_site_fract_x
_atom_site_fract_y
_atom_site_fract_z
Er1 0.0000 0.0000 0.1277
Be1 0.0000 0.0000 0.5000
Ir1 0.0000 0.5000 0.0000
# E_form, eV/f.u.: -4.79



Quick rundown of E, same order as above: -4.60, -4.06, -3.80, -6.19, -2.33, -2.12, -3.45, -4.80, -2.63, -5.76, -7.37 eV per atom
Quick rundown of size of the total moment, same order as above: 0.27, 0.00, 0.00, 3.21, 0.00, 0.00, 3.76, 0.00, 0.00, 0.13, 0.00 μB per formula unit